First-principles (PBEsol) data for an optimized crystal structure of Na4Zn3Se5, as listed in Alexandria.

As for the mass density: 4.24 g/cm3. The value obtained for the formation energy from raw total energies is -0.877 eV/atom. The electronic total energy is -3.343 eV/atom.

Lattice parameters (Å, degrees): 13.6136 4.0614 19.3444 90.00 90.00 90.00
Fractional positions:
Na (0.0097, 0.2500, 0.2343)
Na (0.0120, 0.7500, 0.4181)
Na (0.1068, 0.7500, 0.9534)
Na (0.2356, 0.2500, 0.3352)
Na (0.2644, 0.7500, 0.8352)
Na (0.3932, 0.2500, 0.4534)
Na (0.4880, 0.2500, 0.9181)
Na (0.4903, 0.7500, 0.7343)
Na (0.5097, 0.2500, 0.2657)
Na (0.5120, 0.7500, 0.0819)
Na (0.6068, 0.7500, 0.5466)
Na (0.7356, 0.2500, 0.1648)
Na (0.7644, 0.7500, 0.6648)
Na (0.8932, 0.2500, 0.0466)
Na (0.9880, 0.2500, 0.5819)
Na (0.9903, 0.7500, 0.7657)
Zn (0.0802, 0.7500, 0.1340)
Zn (0.1730, 0.2500, 0.7190)
Zn (0.2080, 0.7500, 0.5425)
Zn (0.2920, 0.2500, 0.0425)
Zn (0.3270, 0.7500, 0.2190)
Zn (0.4198, 0.2500, 0.6340)
Zn (0.5802, 0.7500, 0.3660)
Zn (0.6730, 0.2500, 0.7810)
Zn (0.7080, 0.7500, 0.9575)
Zn (0.7920, 0.2500, 0.4575)
Zn (0.8270, 0.7500, 0.2810)
Zn (0.9198, 0.2500, 0.8660)
Se (0.1025, 0.2500, 0.8407)
Se (0.1136, 0.2500, 0.0651)
Se (0.1197, 0.7500, 0.6538)
Se (0.1543, 0.7500, 0.2485)
Se (0.1588, 0.2500, 0.4773)
Se (0.3412, 0.7500, 0.9773)
Se (0.3456, 0.2500, 0.7485)
Se (0.3803, 0.2500, 0.1538)
Se (0.3864, 0.7500, 0.5651)
Se (0.3975, 0.7500, 0.3407)
Se (0.6025, 0.2500, 0.6593)
Se (0.6136, 0.2500, 0.4349)
Se (0.6197, 0.7500, 0.8462)
Se (0.6544, 0.7500, 0.2515)
Se (0.6588, 0.2500, 0.0227)
Se (0.8412, 0.7500, 0.5227)
Se (0.8456, 0.2500, 0.7515)
Se (0.8803, 0.2500, 0.3462)
Se (0.8864, 0.7500, 0.9349)
Se (0.8975, 0.7500, 0.1593)